An optimized crystal structure of TlCrTeO4. Source: Alexandria, functional PBE with a Hubbard U.

a = 5.853 Å, b = 5.673 Å, c = 8.561 Å
α = 90.00°, β = 120.56°, γ = 90.00°
Sites, in units of the cell vectors:
O: 0.992 0.502 0.651
O: 0.520 0.250 0.483
O: 0.008 0.002 0.349
O: 0.992 0.998 0.651
O: 0.494 0.750 0.223
O: 0.506 0.250 0.777
O: 0.008 0.498 0.349
O: 0.480 0.750 0.517
Cr: 0.222 0.250 0.536
Cr: 0.778 0.750 0.464
Tl: 0.553 0.250 0.148
Tl: 0.447 0.750 0.852
Te: 0.170 0.750 0.277
Te: 0.830 0.250 0.723

**Total DFT energy (no corrections)**: -0.213 Ha/atom